1.
A relaxed structure of Sm3Tm3Th2. Source: Alexandria via LeMat-Bulk, functional PBE.

```
Sm3Tm3Th2
1.0
-2.5126 2.5219 10.1363
2.5126 -2.5219 10.1363
2.5126 2.5219 -10.1363
Sm Tm Th
3 3 2
Direct
0.0000 0.0000 0.0000 Sm
0.3725 0.8725 0.5000 Sm
0.6275 0.1275 0.5000 Sm
0.1271 0.6271 0.5000 Tm
0.5000 0.5000 0.0000 Tm
0.8729 0.3729 0.5000 Tm
0.2496 0.2496 0.0000 Th
0.7504 0.7504 0.0000 Th
```

Calculated values
The value obtained for the formation energy is 0.029 eV/atom. As for the symmetry: Immm, No. 71. Its magnetic moment is 0.0 μB per cell. The calculation puts the density at 9.19 g/cm³. The value obtained for the final energy is -42.2 eV per cell.

2.
A relaxed structure of Y3TeAs. Source: Alexandria via LeMat-Bulk, functional PBE.

```
Y3TeAs
1.0
5.3927 0.0000 0.0000
0.0000 5.3927 0.0000
0.0000 0.0000 5.3927
Y Te As
3 1 1
Direct
0.0000 0.0000 0.5000 Y
0.0000 0.5000 0.0000 Y
0.5000 0.0000 0.0000 Y
0.5000 0.5000 0.5000 Te
0.0000 0.0000 0.0000 As
```

Calculated values
As for the symmetry: Pm-3m, No. 221. Its magnetic moment is 0.0 μB per cell. The calculation puts the density at 4.97 g/cm³. The calculation puts the excess energy over the best structure of this formula in the dataset at 0.000 eV per atom. The value obtained for the final energy is -30.1 eV per cell.

3.
A relaxed structure of Pr4TlSbN. Source: Alexandria via LeMat-Bulk, functional PBE.

```
Pr4TlSbN
1.0
3.5102 -8.2752 0.0000
3.5102 8.2752 0.0000
0.0000 0.0000 7.0186
Pr Tl Sb N
8 2 2 2
Direct
0.0000 0.5000 0.0000 Pr
0.0000 0.5000 0.5000 Pr
0.0877 0.9123 0.7500 Pr
0.4114 0.5886 0.7500 Pr
0.5000 0.0000 0.0000 Pr
0.5000 0.0000 0.5000 Pr
0.5886 0.4114 0.2500 Pr
0.9123 0.0877 0.2500 Pr
0.1099 0.8901 0.2500 Tl
0.8901 0.1099 0.7500 Tl
0.3909 0.6091 0.2500 Sb
0.6091 0.3909 0.7500 Sb
0.2456 0.7544 0.7500 N
0.7544 0.2456 0.2500 N
```

Calculated values
As for the symmetry: Cmcm, No. 63. Its magnetic moment is 0.0 μB per cell. The calculation puts the density at 7.36 g/cm³. The value obtained for the final energy is -79.3 eV per cell.

4.
A relaxed structure of Be2Zn2Ir. Source: Alexandria via LeMat-Bulk, functional PBE.

```
Be2Zn2Ir
1.0
-1.4974 1.4974 6.9195
1.4974 -1.4974 6.9195
1.4974 1.4974 -6.9195
Be Zn Ir
2 2 1
Direct
0.2500 0.7500 0.5000 Be
0.7500 0.2500 0.5000 Be
0.1110 0.1110 0.0000 Zn
0.8890 0.8890 0.0000 Zn
0.5000 0.5000 0.0000 Ir
```

Calculated values
The value obtained for the formation energy is 0.164 eV/atom. As for the symmetry: I4/mmm, No. 139. Its magnetic moment is 0.0 μB per cell. The calculation puts the density at 9.13 g/cm³. The calculation puts the excess energy over the best structure of this formula in the dataset at 0.219 eV per atom. The value obtained for the final energy is -18.0 eV per cell.

5.
A relaxed structure of Tb2Dy2Mg. Source: Alexandria via LeMat-Bulk, functional PBE.

```
Tb2Dy2Mg
1.0
-1.7842 1.7842 11.8173
1.7842 -1.7842 11.8173
1.7842 1.7842 -11.8173
Tb Dy Mg
2 2 1
Direct
0.1964 0.1964 0.0000 Tb
0.8036 0.8036 0.0000 Tb
0.4072 0.4072 0.0000 Dy
0.5928 0.5928 0.0000 Dy
0.0000 0.0000 0.0000 Mg
```

Calculated values
The value obtained for the formation energy is -0.018 eV/atom. As for the symmetry: I4/mmm, No. 139. Its magnetic moment is 0.0 μB per cell. The calculation puts the density at 7.36 g/cm³. The calculation puts the excess energy over the best structure of this formula in the dataset at 0.000 eV per atom. The value obtained for the final energy is -20.1 eV per cell.

6.
A relaxed structure of Pm3Tm. Source: Alexandria via LeMat-Bulk, functional PBE.

```
Pm3Tm
1.0
-1.8331 5.8118 3.1527
1.8331 -5.8118 3.1527
1.8331 5.8118 -3.1527
Pm Tm
3 1
Direct
0.0000 0.0000 0.0000 Pm
0.4184 0.6659 0.7525 Pm
0.9133 0.6659 0.2475 Pm
0.4977 0.9977 0.5000 Tm
```

Calculated values
The value obtained for the formation energy is 0.026 eV/atom. As for the symmetry: Imm2, No. 44. Its magnetic moment is 0.0 μB per cell. The calculation puts the density at 7.46 g/cm³. The calculation puts the excess energy over the best structure of this formula in the dataset at 0.010 eV per atom. The value obtained for the final energy is -18.6 eV per cell.

7.
A relaxed structure of Tl2Cu2I. Source: Alexandria via LeMat-Bulk, functional PBE.

```
Tl2Cu2I
1.0
7.6354 0.0000 0.0000
0.0000 7.6354 0.0000
0.0000 0.0000 4.2397
Tl Cu I
4 4 2
Direct
0.1678 0.3322 0.0000 Tl
0.3322 0.8322 0.0000 Tl
0.6678 0.1678 0.0000 Tl
0.8322 0.6678 0.0000 Tl
0.1124 0.6124 0.5000 Cu
0.3876 0.1124 0.5000 Cu
0.6124 0.8876 0.5000 Cu
0.8876 0.3876 0.5000 Cu
0.0000 0.0000 0.5000 I
0.5000 0.5000 0.5000 I
```

Calculated values
As for the symmetry: P4/mbm, No. 127. Its magnetic moment is 0.0 μB per cell. The calculation puts the density at 8.91 g/cm³. The value obtained for the final energy is -27.0 eV per cell.

8.
A relaxed structure of Ac3Zn4Ni2. Source: Alexandria via LeMat-Bulk, functional PBE.

```
Ac3Zn4Ni2
1.0
5.7115 -2.2168 0.0000
5.7115 2.2168 0.0000
-2.3661 0.0000 8.4750
Ac Zn Ni
3 4 2
Direct
0.0000 0.0000 0.0000 Ac
0.3283 0.3283 0.3424 Ac
0.6717 0.6717 0.6576 Ac
0.0512 0.0512 0.3784 Zn
0.2798 0.2798 0.9382 Zn
0.7202 0.7202 0.0618 Zn
0.9488 0.9488 0.6216 Zn
0.3912 0.3912 0.7247 Ni
0.6088 0.6088 0.2753 Ni
```

Calculated values
The value obtained for the formation energy is -0.309 eV/atom. As for the symmetry: C2/m, No. 12. Its magnetic moment is 0.0 μB per cell. The calculation puts the density at 8.20 g/cm³. The calculation puts the excess energy over the best structure of this formula in the dataset at 0.000 eV per atom. The value obtained for the final energy is -31.8 eV per cell.

9.
A relaxed structure of Li4Cd4Pb. Source: Alexandria via LeMat-Bulk, functional PBE.

```
Li4Cd4Pb
1.0
-4.4607 4.4607 2.3627
4.4607 -4.4607 2.3627
4.4607 4.4607 -2.3627
Li Cd Pb
4 4 1
Direct
0.0000 0.3266 0.3266 Li
0.0000 0.6734 0.6734 Li
0.3266 0.0000 0.3266 Li
0.6734 0.0000 0.6734 Li
0.3243 0.3243 0.6486 Cd
0.3243 0.6757 0.0000 Cd
0.6757 0.3243 0.0000 Cd
0.6757 0.6757 0.3514 Cd
0.0000 0.0000 0.0000 Pb
```

Calculated values
The value obtained for the formation energy is -0.166 eV/atom. As for the symmetry: I4/mmm, No. 139. Its magnetic moment is 0.0 μB per cell. The calculation puts the density at 6.05 g/cm³. The calculation puts the excess energy over the best structure of this formula in the dataset at 0.000 eV per atom. The value obtained for the final energy is -16.5 eV per cell.

10.
A relaxed structure of ZrNi2Se. Source: Alexandria via LeMat-Bulk, functional PBE.

```
ZrNi2Se
1.0
1.9790 1.1426 4.5428
-1.9790 1.1426 4.5428
0.0000 -2.2852 4.5428
Zr Ni Se
1 2 1
Direct
0.0000 0.0000 0.0000 Zr
0.2166 0.2166 0.2166 Ni
0.7834 0.7834 0.7834 Ni
0.5000 0.5000 0.5000 Se
```

Calculated values
As for the symmetry: R-3m, No. 166. Its magnetic moment is 0.0 μB per cell. The calculation puts the density at 7.75 g/cm³. The value obtained for the final energy is -24.7 eV per cell.

11.
A relaxed structure of TeAsHSe2. Source: Alexandria via LeMat-Bulk, functional PBE.

```
TeAsHSe2
1.0
5.4463 0.0000 0.0000
0.0000 5.4463 0.0000
0.0000 0.0000 5.5296
Te As H Se
1 1 1 2
Direct
0.0000 0.0000 0.0000 Te
0.0000 0.0000 0.5000 As
0.5000 0.5000 0.5000 H
0.0000 0.5000 0.0000 Se
0.5000 0.0000 0.0000 Se
```

Calculated values
As for the symmetry: P4/mmm, No. 123. Its magnetic moment is 2.4 μB per cell. The calculation puts the density at 3.66 g/cm³. The calculation puts the excess energy over the best structure of this formula in the dataset at 0.577 eV per atom. The value obtained for the final energy is -12.5 eV per cell.

12.
A relaxed structure of PrDy2Ir2. Source: Alexandria via LeMat-Bulk, functional PBE.

```
PrDy2Ir2
1.0
5.5286 0.0000 0.0000
0.0000 4.4700 0.0000
-1.2705 0.0000 10.4827
Pr Dy Ir
2 4 4
Direct
0.0681 0.2500 0.2835 Pr
0.9319 0.7500 0.7165 Pr
0.2686 0.7500 0.0283 Dy
0.3767 0.2500 0.6108 Dy
0.6233 0.7500 0.3892 Dy
0.7314 0.2500 0.9717 Dy
0.1580 0.7500 0.4687 Ir
0.2028 0.2500 0.8654 Ir
0.7972 0.7500 0.1346 Ir
0.8420 0.2500 0.5313 Ir
```

Calculated values
The value obtained for the formation energy is -0.683 eV/atom. As for the symmetry: P2_1/m, No. 11. Its magnetic moment is 0.0 μB per cell. The calculation puts the density at 10.90 g/cm³. The value obtained for the final energy is -70.2 eV per cell.

13.
A relaxed structure of TcGe2Pt. Source: Alexandria via LeMat-Bulk, functional PBE.

```
TcGe2Pt
1.0
1.9241 1.1109 5.2579
-1.9241 1.1109 5.2579
0.0000 -2.2217 5.2579
Tc Ge Pt
1 2 1
Direct
0.0000 0.0000 0.0000 Tc
0.5892 0.5892 0.5892 Ge
0.7539 0.7539 0.7539 Ge
0.1806 0.1806 0.1806 Pt
```

Calculated values
The value obtained for the formation energy is -0.095 eV/atom. As for the symmetry: R3m, No. 160. Its magnetic moment is 0.0 μB per cell. The calculation puts the density at 10.80 g/cm³. The calculation puts the excess energy over the best structure of this formula in the dataset at 0.056 eV per atom. The value obtained for the final energy is -26.0 eV per cell.

| no. | N(E_F) (states/eV/cell) |
| --- | --- |
| 1 | 8.99 |
| 2 | 6.40 |
| 3 | 9.29 |
| 4 | 1.31 |
| 5 | 7.51 |
| 6 | 6.84 |
| 7 | 3.13 |
| 8 | 5.25 |
| 9 | 2.63 |
| 10 | 2.40 |
| 11 | 4.36 |
| 12 | 5.40 |
| 13 | 1.89 |